(1)
This record from Alexandria via LeMat-Bulk describes a relaxed Nd2Y2Ho4Er crystal. The functional is PBE.

Lattice parameters (Å, degrees): 18.6794 3.5995 9.5648 90.00 115.73 90.00
Closest atoms and distances in Å follow each position.
Space group C2/m (No. 12)
Unique sites:
1 Nd 0.1652 0.0000 0.0005 x4  3 Ho 3.54-3.56, 2 Er 3.57, 3 Y 3.58-3.59, 4 Nd 3.60-3.65
2 Y 0.1466 0.5000 0.6623 x4  7 Ho 3.49-3.62, 3 Nd 3.58-3.59, 2 Y 3.60
3 Ho 0.0192 0.0000 0.3338 x4  4 Y 3.50-3.60, 1 Nd 3.54, 2 Er 3.54, 5 Ho 3.55-3.60
4 Ho 0.1850 0.5000 0.3361 x4  3 Y 3.49-3.62, 6 Ho 3.51-3.60, 1 Er 3.55, 2 Nd 3.56
5 Er 0.0000 0.5000 0.0000 x2  6 Ho 3.54-3.55, 4 Nd 3.57, 2 Er 3.60

Output
Formation energy   0.00 eV/atom
M_tot   0.000 μB/atom

***

(2)
This record from Alexandria via LeMat-Bulk describes a relaxed MgBeRu2 crystal. The functional is PBE.

Lattice parameters (Å, degrees): 2.7538 3.9749 5.0464 90.00 100.92 90.00
Closest atoms and distances in Å follow each position.
Space group P2/m (No. 10)
Unique sites:
1 Mg 0.0000 0.0000 0.0000 x1  2 Be 2.64, 8 Ru 2.66-2.91, 2 Mg 2.75
2 Be 0.5000 0.0000 0.5000 x1  4 Ru 2.39, 2 Mg 2.64
3 Ru 0.3106 0.5000 0.7241 x2  2 Be 2.39, 2 Ru 2.56-2.66, 2 Mg 2.66

Output
Formation energy   0.09 eV/atom
M_tot   0.000 μB/atom

***

Which value of M_tot does entry 2 give? 0.000 μB/atom

***

What is the formula in the second record? MgBeRu2

***

Copy entry 2 word for word.
This record from Alexandria via LeMat-Bulk describes a relaxed MgBeRu2 crystal. The functional is PBE.

Lattice parameters (Å, degrees): 2.7538 3.9749 5.0464 90.00 100.92 90.00
Closest atoms and distances in Å follow each position.
Space group P2/m (No. 10)
Unique sites:
1 Mg 0.0000 0.0000 0.0000 x1  2 Be 2.64, 8 Ru 2.66-2.91, 2 Mg 2.75
2 Be 0.5000 0.0000 0.5000 x1  4 Ru 2.39, 2 Mg 2.64
3 Ru 0.3106 0.5000 0.7241 x2  2 Be 2.39, 2 Ru 2.56-2.66, 2 Mg 2.66

Output
Formation energy   0.09 eV/atom
M_tot   0.000 μB/atom